DFT (PBE+U) results for a relaxed structure of Rb2SnMoF6.

Output
**Space group**: I4/mmm (139)
**Magnetic moment**: 4.0 μB per formula unit
**Total energy**: -47.952 eV per cell

Cell lengths 6.735, 6.735, 6.735 Å; angles 122.89, 122.89, 85.06 degrees
Fractional positions:
Rb: 0.250 0.750 0.500
Rb: 0.750 0.250 0.500
Sn: 0.000 0.000 0.000
Mo: 0.500 0.500 0.000
F: 0.235 0.235 0.000
F: 0.262 0.262 0.524
F: 0.262 0.738 0.000
F: 0.738 0.262 0.000
F: 0.738 0.738 0.476
F: 0.765 0.765 0.000